# 1
## Pm2Dy8In (PBE-GGA)

Data for a geometry-optimized Pm2Dy8In structure.

* total magnetization: 0.00 μB per formula unit
* relative energy among the computed polymorphs: 0 meV/atom
* energy of formation: -0.06 eV per atom
* energy: -4.521 eV/atom
* crystal system: monoclinic

a = 4.959 Å, b = 7.893 Å, c = 9.353 Å
α = 104.74°, β = 105.37°, γ = 90.00°
Element x y z (fractional)
Pm 0.778 0.365 0.555
Pm 0.222 0.635 0.445
Dy 0.411 0.556 0.822
Dy 0.680 0.909 0.360
Dy 0.866 0.825 0.732
Dy 0.956 0.275 0.912
Dy 0.134 0.175 0.268
Dy 0.320 0.091 0.640
Dy 0.589 0.444 0.178
Dy 0.044 0.725 0.088
In 0.500 0.000 0.000

=====

# 2
## Pm2Dy5In4 (PBE-GGA)

Data for a geometry-optimized Pm2Dy5In4 structure.

* total magnetization: 0.00 μB per formula unit
* energy of formation: -0.12 eV per atom
* energy: -4.072 eV/atom
* crystal system: orthorhombic

a = 3.694 Å, b = 8.914 Å, c = 11.549 Å
α = 112.70°, β = 99.20°, γ = 90.00°
Element x y z (fractional)
Pm 0.581 0.581 0.162
Pm 0.419 0.419 0.838
Dy 0.154 0.361 0.308
Dy 0.846 0.639 0.692
Dy 0.154 0.947 0.308
Dy 0.500 0.000 0.000
Dy 0.846 0.053 0.692
In 0.725 0.725 0.450
In 0.000 0.271 0.000
In 0.275 0.275 0.550
In 0.000 0.729 0.000

=====

# 3
## Pm2Dy8In (PBE-GGA)

Data for a geometry-optimized Pm2Dy8In structure.

* total magnetization: 0.00 μB per formula unit
* relative energy among the computed polymorphs: 67 meV/atom
* energy of formation: 0.01 eV per atom
* energy: -4.454 eV/atom
* crystal system: orthorhombic

a = 5.436 Å, b = 7.597 Å, c = 9.773 Å
α = 112.87°, β = 106.14°, γ = 90.00°
Element x y z (fractional)
Pm 0.193 0.693 0.387
Pm 0.807 0.307 0.613
Dy 0.637 0.867 0.274
Dy 0.363 0.593 0.726
Dy 0.179 0.179 0.357
Dy 0.000 0.259 0.000
Dy 0.821 0.821 0.643
Dy 0.637 0.407 0.274
Dy 0.363 0.133 0.726
Dy 0.000 0.741 0.000
In 0.500 0.000 0.000